Density functional theory data (PBE+U) for a relaxed ThMnO crystal.

```
ThMnO
1.0
11.8100 0.0000 0.0000
0.0000 1.6548 2.8664
0.0000 -1.6548 2.8664
Th Mn O
2 2 2
Cartesian
2.7453 0.0000 0.0000
9.0647 0.0000 0.0000
0.0000 0.0000 3.8248
5.9050 0.0000 5.7103
4.5263 0.0000 3.8150
7.2837 0.0000 3.8150
```

Properties
energy	-0.5559	Ry per atom
space-group type	Amm2 (38)